GaHgNO2 | GGA-PBE | relaxed

abc: 3.970 3.970 3.947
angles: 90.00 90.00 90.00
Site moments in Bohr magnetons follow the coordinates.
Sites, in units of the cell vectors:
1 N 0.000 0.000 0.500  0.96
2 Hg 0.500 0.500 0.500  -0.01
3 O 0.500 0.000 0.000  0.33
4 O 0.000 0.500 0.000  0.33
5 Ga 0.000 0.000 0.000  -0.03


GaHg2PN | GGA-PBE | relaxed

abc: 5.546 3.341 5.546
angles: 90.00 90.00 90.00
Sites, in units of the cell vectors:
1 N 0.000 0.500 0.000
2 Hg 0.000 0.000 0.500
3 Hg 0.500 0.000 0.000
4 Ga 0.500 0.500 0.500
5 P 0.000 0.000 0.000


GaHg2PbN | GGA-PBE | relaxed

abc: 6.072 3.403 6.072
angles: 90.00 90.00 90.00
Sites, in units of the cell vectors:
1 Hg 0.500 0.000 0.000
2 Hg 0.000 0.000 0.500
3 N 0.000 0.000 0.000
4 Ga 0.000 0.500 0.000
5 Pb 0.500 0.500 0.500


Pm4GaHgN | GGA-PBE | relaxed

abc: 7.041 7.047 8.227
angles: 90.00 115.33 90.00
Sites, in units of the cell vectors:
1 Pm 0.500 0.500 0.500
2 Pm 0.000 0.500 0.500
3 Pm 0.077 0.750 0.153
4 Pm 0.420 0.750 0.839
5 Pm 0.580 0.250 0.161
6 Pm 0.500 0.000 0.500
7 Pm 0.000 0.000 0.500
8 Pm 0.923 0.250 0.847
9 Ga 0.127 0.250 0.254
10 Ga 0.873 0.750 0.746
11 N 0.248 0.750 0.495
12 N 0.752 0.250 0.505
13 Hg 0.380 0.250 0.761
14 Hg 0.620 0.750 0.239


Pr4GaHgN | GGA-PBE | relaxed

abc: 7.185 7.194 8.341
angles: 90.00 115.51 90.00
Sites, in units of the cell vectors:
1 Ga 0.128 0.250 0.256
2 Ga 0.872 0.750 0.744
3 Pr 0.000 0.500 0.500
4 Pr 0.000 0.000 0.500
5 Pr 0.500 0.500 0.500
6 Pr 0.924 0.250 0.848
7 Pr 0.420 0.750 0.839
8 Pr 0.076 0.750 0.152
9 Pr 0.580 0.250 0.161
10 Pr 0.500 0.000 0.500
11 Hg 0.620 0.750 0.241
12 Hg 0.380 0.250 0.759
13 N 0.247 0.750 0.495
14 N 0.753 0.250 0.505


Ga2ReHgN | GGA-PBE | relaxed

abc: 4.887 5.326 4.887
angles: 90.00 90.00 90.00
Site moments in Bohr magnetons follow the coordinates.
Sites, in units of the cell vectors:
1 N 0.500 0.500 0.500  1.74
2 Ga 0.500 0.000 0.000  -0.02
3 Ga 0.000 0.000 0.500  -0.01
4 Re 0.000 0.000 0.000  0.72
5 Hg 0.000 0.500 0.000  0.04


GaReHgN2 | GGA-PBE | relaxed

abc: 4.001 5.513 4.001
angles: 90.00 90.00 90.00
Sites, in units of the cell vectors:
1 Hg 0.000 0.000 0.000
2 Ga 0.500 0.500 0.500
3 Re 0.000 0.500 0.000
4 N 0.500 0.000 0.000
5 N 0.000 0.000 0.500


Ga2HgRhN | GGA-PBE | relaxed

abc: 4.605 3.954 4.605
angles: 90.00 90.00 90.00
Sites, in units of the cell vectors:
1 Hg 0.500 0.500 0.500
2 N 0.000 0.000 0.000
3 Ga 0.000 0.000 0.500
4 Ga 0.500 0.000 0.000
5 Rh 0.000 0.500 0.000


| no. | formation energy (no corrections) (eV per formula unit) |
| --- | --- |
| 1 | 1.01 |
| 2 | 2.25 |
| 3 | 2.22 |
| 4 | -4.81 |
| 5 | -4.44 |
| 6 | 7.35 |
| 7 | 13.71 |
| 8 | 1.91 |